(1)
The following is a PBE calculation of crystalline ZrCuOs at its relaxed geometry, from Alexandria via LeMat-Bulk.

Values from the calculation:
E_form = 0.32 eV per atom
Crystal system = cubic
Density of states at the Fermi level = 2.018 states/eV/f.u.

Cell lengths 5.9716, 5.9716, 5.9716 Å; angles 90.00, 90.00, 90.00 degrees
With the nearest neighbours (Å) after each atom.
Space group F-43m (No. 216)
One atom of each set of equivalent atoms:
Zr (0.0000, 0.0000, 0.0000) (multiplicity 4)  4 Cu 2.59
Cu (0.2500, 0.2500, 0.7500) (multiplicity 4)  4 Zr 2.59, 4 Os 2.59
Os (0.0000, 0.0000, 0.5000) (multiplicity 4)  4 Cu 2.59

---

(2)
The following is a PBE calculation of crystalline Zr2CuOs at its relaxed geometry, from Alexandria via LeMat-Bulk.

Values from the calculation:
E_form = -0.04 eV per atom
Crystal system = tetragonal
Density of states at the Fermi level = 4.170 states/eV/f.u.

Cell lengths 3.3870, 3.3870, 6.1960 Å; angles 90.00, 90.00, 90.00 degrees
With the nearest neighbours (Å) after each atom.
Space group P4mm (No. 99)
One atom of each set of equivalent atoms:
Zr (0.0000, 0.0000, 0.0000) (multiplicity 1)  4 Os 2.79, 1 Cu 2.82, 4 Zr 3.11
Zr (0.5000, 0.5000, 0.3200) (multiplicity 1)  4 Cu 2.77, 1 Os 2.79
Cu (0.0000, 0.0000, 0.5453) (multiplicity 1)  4 Os 2.77, 5 Zr 2.77-2.82
Os (0.5000, 0.5000, 0.7696) (multiplicity 1)  4 Cu 2.77, 5 Zr 2.79